(1)
VASP calculation (PBE) on a relaxed Li2Sn7Pd2 crystal.

DOS at the Fermi energy, states/eV/cell: 4.4
Final energy, eV per atom: -4.00
Calculated formation energy, eV per atom: -0.160
V, Å³/f.u.: 270.1

POSCAR file:
```
Li2Sn7Pd2
1.0
5.3746 0.0893 -0.5567
-0.9821 6.8402 -2.8497
0.2059 -0.3583 7.4634
Sn Li Pd
7 2 2
direct
0.2131 0.3804 0.9660
0.7869 0.0340 0.6196
0.2131 0.9660 0.3804
0.7869 0.6196 0.0340
0.7797 0.3463 0.3463
0.2203 0.6537 0.6537
0.0000 0.0000 0.0000
0.5000 0.6599 0.3401
0.5000 0.3401 0.6599
0.7245 0.6905 0.6905
0.2755 0.3095 0.3095
```



(2)
VASP calculation (PBE) on a relaxed RbMgSbPb crystal.

DOS at the Fermi energy, states/eV/cell: 2.1
Final energy, eV per atom: -2.90
ΔE_f (raw), eV/atom: -0.298
V, Å³/f.u.: 153.6

POSCAR file:
```
RbMgSbPb
1.0
-3.1482 -3.2947 0.2517
1.8484 -1.4678 3.9063
-8.8534 9.0392 7.5860
Mg Sb Pb Rb
2 2 2 2
direct
0.7500 0.2500 0.0000
0.2500 0.7500 0.0000
0.7500 0.7500 0.8784
0.2500 0.2500 0.1216
0.2500 0.7500 0.5000
0.7500 0.2500 0.5000
0.7500 0.7500 0.2480
0.2500 0.2500 0.7520
```



(3)
VASP calculation (PBE) on a relaxed Co4W crystal.

DOS at the Fermi energy, states/eV/cell: 8.2
Final energy, eV per atom: -7.07
Calculated formation energy, eV per atom: 1.204
V, Å³/f.u.: 77.9

POSCAR file:
```
Co4W
1.0
1.6026 0.4728 4.3499
-3.4438 3.0537 -0.7270
-1.6120 -4.3308 -0.5993
Co W
4 1
direct
0.5000 0.5000 0.5000
0.5000 0.0000 0.0000
0.0000 0.5000 0.0000
0.0000 0.0000 0.5000
0.0000 0.0000 0.0000
```



(4)
VASP calculation (PBE) on a relaxed PmThZnAu crystal.

DOS at the Fermi energy, states/eV/cell: 4.1
Final energy, eV per atom: -4.59
Calculated formation energy, eV per atom: -0.410
V, Å³/f.u.: 100.6

POSCAR file:
```
PmThZnAu
1.0
-5.1069 0.1522 1.0762
-2.2914 -4.0517 2.3654
-1.6138 0.4362 4.9464
Zn Th Pm Au
1 1 1 1
direct
0.0000 0.0000 0.0000
0.7500 0.7500 0.7500
0.2500 0.2500 0.2500
0.5000 0.5000 0.5000
```



(5)
VASP calculation (PBE) on a relaxed Ba2AlCo crystal.

DOS at the Fermi energy, states/eV/cell: 3.9
Final energy, eV per atom: -3.46
Calculated formation energy, eV per atom: 0.209
V, Å³/f.u.: 122.3

POSCAR file:
```
Ba2AlCo
1.0
3.5724 0.0000 0.0000
0.0000 3.5724 0.0000
0.0000 0.0000 9.5792
Ba Co Al
2 1 1
direct
0.5000 0.5000 0.3334
0.0000 0.0000 0.9128
0.0000 0.0000 0.5892
0.5000 0.5000 0.6646
```



(6)
VASP calculation (PBE) on a relaxed LiAg8Pd5 crystal.

DOS at the Fermi energy, states/eV/cell: 4.1
Final energy, eV per atom: -3.55
Calculated formation energy, eV per atom: 0.067
V, Å³/f.u.: 247.2

POSCAR file:
```
LiAg8Pd5
1.0
6.8502 -0.0519 0.0892
-2.3667 6.4286 -0.0892
-2.1169 -3.2762 5.6322
Pd Ag Li
5 8 1
direct
0.2811 0.0889 0.9763
0.5000 0.0000 0.5000
0.0237 0.3048 0.1126
0.8078 0.6952 0.7189
0.8874 0.9111 0.1922
0.5254 0.6029 0.2579
0.9454 0.0910 0.6449
0.1456 0.6994 0.0546
0.6549 0.3971 0.9224
0.5538 0.9090 0.8544
0.0776 0.7325 0.4746
0.3551 0.3006 0.4462
0.7421 0.2675 0.3451
0.2500 0.5000 0.7500
```



(7)
VASP calculation (PBE) on a relaxed Pm2AlO crystal.

DOS at the Fermi energy, states/eV/cell: 2.8
Final energy, eV per atom: -5.69
ΔE_f (raw), eV/atom: -1.141
ΔE to the lowest computed polymorph, meV per atom: 298.6
V, Å³/f.u.: 77.9

POSCAR file:
```
Pm2AlO
1.0
3.1407 0.0000 0.0000
0.0000 3.1407 0.0000
0.0000 0.0000 7.9025
Pm Al O
2 1 1
direct
0.0000 0.0000 0.2008
0.0000 0.0000 0.7992
0.5000 0.5000 0.5000
0.5000 0.5000 0.0000
```



(8)
VASP calculation (PBE) on a relaxed Li2LaMn crystal.

DOS at the Fermi energy, states/eV/cell: 9.2
Final energy, eV per atom: -3.81
ΔE to the lowest computed polymorph, meV per atom: 434.2
Calculated formation energy, eV per atom: 0.675
V, Å³/f.u.: 74.5

POSCAR file:
```
Li2LaMn
1.0
-4.6275 0.3499 0.8724
-2.5878 3.2468 -2.2493
-3.1278 -1.3301 -3.2780
Li Mn La
2 1 1
direct
0.7500 0.7500 0.7500
0.2500 0.2500 0.2500
0.0000 0.0000 0.0000
0.5000 0.5000 0.5000
```